VASP calculation (PBE) on a relaxed structure of AcHgSb.

Total moment ... 0.000 Bohr magnetons per cell
Space group ... F-43m
Distance to the lowest polymorph of the same formula ... 0.00 kcal/mol of atoms
V ... 103 Å³ per cell

Lattice parameters (Å, degrees): 5.253 5.253 5.253 60.00 60.00 60.00
Fractional positions:
Ac 0.000 0.000 0.000
Hg 0.750 0.750 0.750
Sb 0.500 0.500 0.500

=====

VASP calculation (PBE) on a relaxed structure of Ac2HgSb4.

Total moment ... 0.005 Bohr magnetons per cell
Space group ... P-4m2
V ... 229 Å³ per cell
Calculated total energy ... -4.279 eV/atom

Lattice parameters (Å, degrees): 4.555 4.555 11.028 90.00 90.00 90.00
Fractional positions:
Ac 0.500 0.000 0.255
Ac 0.000 0.500 0.745
Hg 0.000 0.000 0.000
Sb 0.000 0.500 0.164
Sb 0.000 0.000 0.500
Sb 0.500 0.500 0.500
Sb 0.500 0.000 0.836

=====

VASP calculation (PBE) on a relaxed structure of Ac3Sn4Hg2.

Total moment ... 0.005 Bohr magnetons per cell
Space group ... C2/m
V ... 288 Å³ per cell
Calculated total energy ... -3.799 eV/atom

Lattice parameters (Å, degrees): 6.740 6.740 9.581 99.70 99.70 42.23
Fractional positions:
Ac 0.666 0.666 0.168
Ac 0.000 0.000 0.500
Ac 0.334 0.334 0.832
Hg 0.345 0.345 0.175
Hg 0.655 0.655 0.825
Sn 0.966 0.966 0.138
Sn 0.305 0.305 0.465
Sn 0.695 0.695 0.535
Sn 0.034 0.034 0.862

=====

VASP calculation (PBE) on a relaxed structure of AcSnHg.

Total moment ... 0.002 Bohr magnetons per cell
Space group ... F-43m
V ... 101 Å³ per cell
Calculated total energy ... -3.259 eV/atom

Lattice parameters (Å, degrees): 5.223 5.223 5.223 60.00 60.00 60.00
Fractional positions:
Ac 0.500 0.500 0.500
Hg 0.250 0.250 0.250
Sn 0.000 0.000 0.000

=====

VASP calculation (PBE) on a relaxed structure of SrAcHg.

Total moment ... 0.002 Bohr magnetons per cell
Space group ... F-43m
Distance to the lowest polymorph of the same formula ... 11.55 kcal/mol of atoms
V ... 118 Å³ per cell

Lattice parameters (Å, degrees): 5.509 5.509 5.509 60.00 60.00 60.00
Fractional positions:
Ac 0.000 0.000 0.000
Hg 0.250 0.250 0.250
Sr 0.750 0.750 0.750

=====

VASP calculation (PBE) on a relaxed structure of SrAcHg.

Total moment ... 0.169 Bohr magnetons per cell
Space group ... F-43m
Distance to the lowest polymorph of the same formula ... 0.00 kcal/mol of atoms
V ... 122 Å³ per cell

Lattice parameters (Å, degrees): 5.561 5.561 5.561 60.00 60.00 60.00
Fractional positions:
Ac 0.250 0.250 0.250
Hg 0.000 0.000 0.000
Sr 0.750 0.750 0.750

=====

VASP calculation (PBE) on a relaxed structure of AcTmHg.

Total moment ... 0.015 Bohr magnetons per cell
Space group ... F-43m
Distance to the lowest polymorph of the same formula ... 0.00 kcal/mol of atoms
V ... 107 Å³ per cell
E_form ... -63.7 meV/atom

Lattice parameters (Å, degrees): 5.321 5.321 5.321 60.00 60.00 60.00
Fractional positions:
Ac 0.250 0.250 0.250
Hg 0.000 0.000 0.000
Tm 0.750 0.750 0.750

=====

VASP calculation (PBE) on a relaxed structure of AcHgW.

Total moment ... 3.027 Bohr magnetons per cell
Space group ... F-43m
Distance to the lowest polymorph of the same formula ... 0.00 kcal/mol of atoms
V ... 90 Å³ per cell
E_form ... 1085.1 meV/atom

Lattice parameters (Å, degrees): 5.031 5.031 5.031 60.00 60.00 60.00
Fractional positions:
Ac 0.000 0.000 0.000
Hg 0.500 0.500 0.500
W 0.250 0.250 0.250